LiGa2Cu2: relaxed, PBE.

Structure (POSCAR):
```
LiGa2Cu2
1.0
-2.148 -1.497 -0.984
2.365 -1.094 -3.495
4.048 -9.578 5.739
Ga Cu Li
4 4 2
Direct
0.750 0.250 0.146 Ga
0.750 0.750 0.454 Ga
0.250 0.750 0.854 Ga
0.250 0.250 0.546 Ga
0.750 0.249 0.351 Cu
0.750 0.750 0.037 Cu
0.250 0.250 0.963 Cu
0.250 0.751 0.649 Cu
0.250 0.749 0.248 Li
0.750 0.251 0.752 Li
```

Results
For the density of states at the Fermi level, the calculation gives 0.353 states/eV/atom. The value obtained for the excess energy over the best structure of this formula in the dataset is 0.036 eV per atom. The calculation puts the uncorrected energy at -3.375 eV per atom. As for the symmetry: P2_1/m, No. 11.



LiGaCu6: relaxed, PBE.

Structure (POSCAR):
```
LiGaCu6
1.0
-4.124 -0.613 -0.906
-0.223 -3.749 3.550
-1.020 4.888 1.336
Ga Cu Li
1 6 1
Direct
0.500 0.417 0.583 Ga
0.500 0.915 0.581 Cu
0.000 0.585 0.415 Cu
0.000 0.080 0.415 Cu
0.500 0.419 0.085 Cu
0.500 0.915 0.085 Cu
0.000 0.585 0.920 Cu
0.000 0.083 0.917 Li
```

Results
For the density of states at the Fermi level, the calculation gives 0.088 states/eV/atom. The value obtained for the excess energy over the best structure of this formula in the dataset is 0.000 eV per atom. The calculation puts the uncorrected energy at -3.791 eV per atom. As for the symmetry: P-6m2, No. 187.



Li4Ga3Cu: relaxed, PBE.

Structure (POSCAR):
```
Li4Ga3Cu
1.0
2.669 0.000 0.000
0.000 4.195 0.231
-1.334 -0.532 11.517
Ga Li Cu
3 4 1
Direct
0.841 0.745 0.682 Ga
0.159 0.255 0.318 Ga
0.000 0.500 0.000 Ga
0.715 0.753 0.430 Li
0.601 0.752 0.202 Li
0.399 0.248 0.798 Li
0.285 0.247 0.570 Li
0.500 0.000 0.000 Cu
```

Results
For the density of states at the Fermi level, the calculation gives 0.354 states/eV/atom. The value obtained for the excess energy over the best structure of this formula in the dataset is 0.030 eV per atom. The calculation puts the uncorrected energy at -2.745 eV per atom. As for the symmetry: C2/m, No. 12.



Li4Ga4Cu3: relaxed, PBE.

Structure (POSCAR):
```
Li4Ga4Cu3
1.0
2.722 0.008 -0.212
-0.027 3.801 -0.478
0.021 -0.049 15.065
Ga Li Cu
4 4 3
Direct
0.451 0.454 0.908 Ga
0.177 0.176 0.354 Ga
0.823 0.824 0.646 Ga
0.549 0.546 0.092 Ga
0.911 0.911 0.821 Li
0.279 0.276 0.552 Li
0.089 0.089 0.179 Li
0.721 0.724 0.448 Li
0.636 0.634 0.269 Cu
0.364 0.366 0.731 Cu
0.000 0.000 0.000 Cu
```

Results
For the density of states at the Fermi level, the calculation gives 0.255 states/eV/atom. The calculation puts the uncorrected energy at -3.102 eV per atom. As for the symmetry: P-1, No. 2.